Record 1
VASP calculation (GGA-PBE) on Pu2GaCu after structural relaxation.

Output
D(E_F) in states/eV per cell: 7.513
Calculated formation energy in meV/atom: 130
Space group: P4/mmm (123)
Calculated density in g cm⁻³: 16.44

POSCAR file:
```
Pu2GaCu
1.0
3.538 0.000 0.000
0.000 3.538 0.000
0.000 0.000 5.012
Pu Ga Cu
2 1 1
direct
0.000 0.500 0.000
0.500 0.000 0.000
0.000 0.000 0.500
0.500 0.500 0.500
```



Record 2
VASP calculation (GGA-PBE) on PuGa9Cu2 after structural relaxation.

Output
D(E_F) in states/eV per cell: 24.106
Calculated formation energy in meV/atom: -84
Space group: I4_1/amd (141)
Calculated density in g cm⁻³: 7.77

POSCAR file:
```
PuGa9Cu2
1.0
-5.693 5.693 3.291
5.693 -5.693 3.291
5.693 5.693 -3.291
Pu Ga Cu
2 18 4
direct
0.375 0.625 0.750
0.625 0.375 0.250
0.110 0.551 0.317
0.110 0.794 0.559
0.125 0.875 0.250
0.206 0.266 0.317
0.206 0.890 0.941
0.266 0.206 0.817
0.266 0.449 0.059
0.449 0.266 0.559
0.449 0.890 0.183
0.551 0.110 0.817
0.551 0.734 0.441
0.734 0.551 0.941
0.734 0.794 0.183
0.794 0.110 0.059
0.794 0.734 0.683
0.875 0.125 0.750
0.890 0.206 0.441
0.890 0.449 0.683
0.000 0.000 0.000
0.000 0.000 0.500
0.000 0.500 0.000
0.500 0.000 0.500
```



Record 3
VASP calculation (GGA-PBE) on PuGa2Cu after structural relaxation.

Output
D(E_F) in states/eV per cell: 40.156
Calculated formation energy in meV/atom: -241
Space group: Pnma (62)
Calculated density in g cm⁻³: 10.02

POSCAR file:
```
PuGa2Cu
1.0
8.062 0.000 0.000
0.000 6.608 0.000
0.000 0.000 5.561
Pu Ga Cu
4 8 4
direct
0.036 0.250 0.114
0.464 0.750 0.614
0.536 0.250 0.386
0.964 0.750 0.886
0.186 0.053 0.616
0.186 0.447 0.616
0.314 0.553 0.116
0.314 0.947 0.116
0.686 0.053 0.884
0.686 0.447 0.884
0.814 0.553 0.384
0.814 0.947 0.384
0.095 0.750 0.374
0.405 0.250 0.874
0.595 0.750 0.126
0.905 0.250 0.626
```



Record 4
VASP calculation (GGA-PBE) on Pu4Ga5Cu2 after structural relaxation.

Output
D(E_F) in states/eV per cell: 15.743
Calculated formation energy in meV/atom: -25
Space group: P2/m (10)
Calculated density in g cm⁻³: 13.11

POSCAR file:
```
Pu4Ga5Cu2
1.0
7.050 0.000 0.000
0.000 2.607 0.000
-0.395 0.000 10.002
Pu Ga Cu
4 5 2
direct
0.123 0.000 0.426
0.343 0.000 0.962
0.657 0.000 0.038
0.877 0.000 0.574
0.228 0.500 0.701
0.382 0.500 0.231
0.500 0.500 0.500
0.618 0.500 0.769
0.772 0.500 0.299
0.037 0.500 0.128
0.963 0.500 0.872
```



Record 5
VASP calculation (GGA-PBE) on PuGa4Cu2 after structural relaxation.

Output
D(E_F) in states/eV per cell: 48.472
Calculated formation energy in meV/atom: -261
Space group: Pnma (62)
Calculated density in g cm⁻³: 9.07

POSCAR file:
```
PuGa4Cu2
1.0
16.953 0.000 0.000
0.000 4.338 0.000
0.000 0.000 6.469
Pu Ga Cu
4 16 8
direct
0.136 0.250 0.006
0.364 0.750 0.506
0.636 0.250 0.494
0.864 0.750 0.994
0.036 0.750 0.820
0.074 0.250 0.494
0.184 0.750 0.313
0.192 0.750 0.717
0.308 0.250 0.217
0.316 0.250 0.813
0.426 0.750 0.994
0.464 0.250 0.320
0.536 0.750 0.680
0.574 0.250 0.006
0.684 0.750 0.187
0.692 0.750 0.783
0.808 0.250 0.283
0.816 0.250 0.687
0.926 0.750 0.506
0.964 0.250 0.180
0.036 0.750 0.241
0.219 0.250 0.521
0.281 0.750 0.021
0.464 0.250 0.741
0.536 0.750 0.259
0.719 0.250 0.979
0.781 0.750 0.479
0.964 0.250 0.759
```



Record 6
VASP calculation (GGA-PBE) on PuGa12Cu6 after structural relaxation.

Output
D(E_F) in states/eV per cell: 16.158
Calculated formation energy in meV/atom: -54
Space group: R-3m (166)
Calculated density in g cm⁻³: 7.60

POSCAR file:
```
PuGa12Cu6
1.0
5.645 3.259 2.895
-5.645 3.259 2.895
0.000 -6.519 2.895
Pu Ga Cu
1 12 6
direct
0.000 0.000 0.000
0.113 0.500 0.887
0.113 0.887 0.500
0.143 0.395 0.395
0.395 0.143 0.395
0.395 0.395 0.143
0.500 0.113 0.887
0.500 0.887 0.113
0.605 0.605 0.857
0.605 0.857 0.605
0.857 0.605 0.605
0.887 0.113 0.500
0.887 0.500 0.113
0.287 0.287 0.712
0.287 0.712 0.287
0.288 0.713 0.713
0.712 0.287 0.287
0.713 0.288 0.713
0.713 0.713 0.288
```



What is the D(E_F) in the third record?
40.156 states/eV per cell



calculated formation energy of number 5 (PuGa4Cu2)?
-261 meV/atom



What is the calculated formation energy in the first record?
130 meV/atom